Entry 1:
CaTa2Mn: optimized geometry, PBE.

DFT formation energy (eV/atom): 0.794
DFT total energy (eV per atom): -7.9256
E above lowest polymorph (meV/atom): 398
SG: Fm-3m (225)

Cell lengths 4.6201, 4.6201, 4.6201 Å; angles 60.00, 60.00, 60.00 degrees
With the nearest neighbours (Å) after each atom.
Sites, in units of the cell vectors:
1 Ca 0.0000 0.0000 0.0000  8 Ta 2.83
2 Ta 0.2500 0.2500 0.2500  4 Mn 2.83, 4 Ca 2.83
3 Ta 0.7500 0.7500 0.7500  4 Ca 2.83, 4 Mn 2.83
4 Mn 0.5000 0.5000 0.5000  8 Ta 2.83

***

Entry 2:
K2HgAsCl6: optimized geometry, PBE.

Formation energy from raw total energies (eV per atom): -1.1003
DFT total energy (eV per atom): -2.9229
SG: Cm (8)

Cell lengths 7.4747, 7.4747, 7.5042 Å; angles 119.91, 119.91, 89.82 degrees
With the nearest neighbours (Å) after each atom.
Sites, in units of the cell vectors:
1 K 0.2494 0.7506 0.0000  4 Cl 3.29-3.30
2 K 0.7506 0.2494 0.0000  4 Cl 3.29-3.30
3 Hg 0.9984 0.9984 0.4976  6 Cl 2.74-3.01
4 As 0.4989 0.4989 0.4979  6 Cl 2.51-2.53
5 Cl 0.2057 0.2057 0.3672  1 As 2.51
6 Cl 0.2582 0.7383 0.4968  1 As 2.53, 1 Hg 2.74
7 Cl 0.3401 0.3401 0.0461  1 As 2.51
8 Cl 0.6571 0.6571 0.9495  1 As 2.51
9 Cl 0.7383 0.2582 0.4968  1 As 2.53, 1 Hg 2.74
10 Cl 0.7928 0.7928 0.6300  1 As 2.51

***

Entry 3:
CsAlTe2Au: optimized geometry, PBE.

Formation energy from raw total energies (eV per atom): -0.2807
DFT total energy (eV per atom): -3.1120
SG: P4/mmm (123)

Cell lengths 5.5665, 5.5665, 5.2293 Å; angles 90.00, 90.00, 90.00 degrees
With the nearest neighbours (Å) after each atom.
Sites, in units of the cell vectors:
1 Cs 0.0000 0.0000 0.0000  8 Te 3.82, 4 Au 3.94
2 Al 0.5000 0.5000 0.5000  2 Au 2.61, 4 Te 2.78
3 Te 0.0000 0.5000 0.5000  2 Al 2.78
4 Te 0.5000 0.0000 0.5000  2 Al 2.78
5 Au 0.5000 0.5000 0.0000  2 Al 2.61

***

Entry 4:
TiBiS3: optimized geometry, PBE.

Formation energy from raw total energies (eV per atom): -0.8308
DFT total energy (eV per atom): -5.6624
E above lowest polymorph (meV/atom): 0
SG: Pnma (62)

Cell lengths 8.7668, 3.7033, 13.5454 Å; angles 90.00, 90.00, 90.00 degrees
With the nearest neighbours (Å) after each atom.
Sites, in units of the cell vectors:
1 Ti 0.1371 0.2500 0.0402  6 S 2.39-2.59
2 Ti 0.3629 0.7500 0.5402  6 S 2.39-2.59
3 Ti 0.6371 0.2500 0.4598  6 S 2.39-2.59
4 Ti 0.8629 0.7500 0.9598  6 S 2.39-2.59
5 Bi 0.0132 0.2500 0.6566  3 S 2.64-2.70
6 Bi 0.4868 0.7500 0.1566  3 S 2.64-2.70
7 Bi 0.5132 0.2500 0.8434  3 S 2.64-2.70
8 Bi 0.9868 0.7500 0.3434  3 S 2.64-2.70
9 S 0.0064 0.2500 0.8853  3 Ti 2.39-2.46
10 S 0.1744 0.2500 0.4866  2 Ti 2.59, 1 Bi 2.70
11 S 0.2164 0.7500 0.7024  1 Ti 2.54, 2 Bi 2.64
12 S 0.2836 0.2500 0.2024  1 Ti 2.54, 2 Bi 2.64
13 S 0.3256 0.7500 0.9866  2 Ti 2.59, 1 Bi 2.70
14 S 0.4936 0.7500 0.3853  3 Ti 2.39-2.46
15 S 0.5064 0.2500 0.6147  3 Ti 2.39-2.46
16 S 0.6744 0.2500 0.0134  2 Ti 2.59, 1 Bi 2.70
17 S 0.7164 0.7500 0.7976  1 Ti 2.54, 2 Bi 2.64
18 S 0.7836 0.2500 0.2976  1 Ti 2.54, 2 Bi 2.64
19 S 0.8256 0.7500 0.5134  2 Ti 2.59, 1 Bi 2.70
20 S 0.9936 0.7500 0.1147  3 Ti 2.39-2.46

***

Entry 5:
As3HPd: optimized geometry, PBE.

DFT total energy (eV per atom): -4.0402
E above lowest polymorph (meV/atom): 0
SG: Pm-3m (221)

Cell lengths 4.2354, 4.2354, 4.2354 Å; angles 90.00, 90.00, 90.00 degrees
With the nearest neighbours (Å) after each atom.
Sites, in units of the cell vectors:
1 As 0.0000 0.0000 0.5000  2 H 2.12
2 As 0.0000 0.5000 0.0000  2 H 2.12
3 As 0.5000 0.0000 0.0000  2 H 2.12
4 H 0.0000 0.0000 0.0000  6 As 2.12
5 Pd 0.5000 0.5000 0.5000  12 As 2.99

***

Entry 6:
TcGe3C: optimized geometry, PBE.

DFT formation energy (eV/atom): 1.177
DFT total energy (eV per atom): -5.5115
E above lowest polymorph (meV/atom): 0
SG: Pm-3m (221)

Cell lengths 4.2297, 4.2297, 4.2297 Å; angles 90.00, 90.00, 90.00 degrees
With the nearest neighbours (Å) after each atom.
Sites, in units of the cell vectors:
1 Tc 0.0000 0.0000 0.0000  12 Ge 2.99
2 Ge 0.0000 0.5000 0.5000  2 C 2.11
3 Ge 0.5000 0.0000 0.5000  2 C 2.11
4 Ge 0.5000 0.5000 0.0000  2 C 2.11
5 C 0.5000 0.5000 0.5000  6 Ge 2.11

***

Which of these has the highest DFT total energy?
K2HgAsCl6